# Cd2SiMo

Cd2SiMo after structural relaxation (PBE, the Alexandria database).

The structure in POSCAR format:
```
Cd2SiMo
1.0
-2.2830 1.9914 -4.6782
-5.4359 -0.5136 -1.1185
3.3853 1.6037 4.1269
Cd Si Mo
2 1 1
direct
0.5000 0.5000 0.0000 Cd
0.0000 0.0000 0.0000 Cd
0.7500 0.2500 0.5000 Si
0.2500 0.7500 0.5000 Mo
```

For the total energy, the calculation gives -4.19 eV/atom. The value obtained for the raw formation energy is 0.33 eV/atom.